# SiMo, relaxed, DFT GGA-PBE
# VASP energy in eV per atom: -7.9996
# Formation energy without anion corrections in eV/atom: 0.127
data_SiMo
_space_group_name_H-M_alt 'P 63/m'
_space_group_IT_number 176
_space_group_name_Hall '-P 6c'
_cell_length_a 6.9259
_cell_length_b 6.9259
_cell_length_c 4.6570
_cell_angle_alpha 90.00
_cell_angle_beta 90.00
_cell_angle_gamma 120.00
loop_
_atom_site_label
_atom_site_fract_x
_atom_site_fract_y
_atom_site_fract_z
_atom_site_occupancy
Si1 0.0423 0.2630 0.2500 1
Mo1 0.0743 0.4323 0.7500 1



# SiMo3, relaxed, DFT GGA-PBE
# VASP energy in eV per atom: -9.5874
# E above lowest polymorph in eV per atom: 0.217
# Formation energy without anion corrections in eV/atom: -0.108
data_SiMo3
_space_group_name_H-M_alt 'P n m a'
_space_group_IT_number 62
_cell_length_a 6.132
_cell_length_b 7.895
_cell_length_c 5.057
_cell_angle_alpha 90.00
_cell_angle_beta 90.00
_cell_angle_gamma 90.00
loop_
_space_group_symop_operation_xyz
'x,y,z'
'-x,-y,-z'
'-x+1/2,-y,z+1/2'
'x+1/2,y,-z+1/2'
'x+1/2,-y+1/2,-z+1/2'
'-x+1/2,y+1/2,z+1/2'
'-x,y+1/2,-z'
'x,-y+1/2,z'
loop_
_atom_site_label
_atom_site_fract_x
_atom_site_fract_y
_atom_site_fract_z
_atom_site_occupancy
Si1 0.099 0.250 0.105 1
Mo1 0.028 0.750 0.367 1
Mo2 0.191 0.536 0.855 1



# SiMo, relaxed, DFT GGA-PBE
# VASP energy in eV per atom: -7.9624
# Formation energy without anion corrections in eV/atom: 0.165
data_SiMo
_space_group_name_H-M_alt 'I 4/m'
_space_group_IT_number 87
_space_group_name_Hall '-I 4'
_cell_length_a 7.417
_cell_length_b 7.417
_cell_length_c 4.740
_cell_angle_alpha 90.00
_cell_angle_beta 90.00
_cell_angle_gamma 90.00
loop_
_atom_site_label
_atom_site_fract_x
_atom_site_fract_y
_atom_site_fract_z
_atom_site_occupancy
Si1 0.084 0.784 0.000 1
Mo1 0.093 0.673 0.500 1



# SiMo5, relaxed, DFT GGA-PBE
# VASP energy in eV per atom: -10.0251
# E above lowest polymorph in eV per atom: 0.000
# Formation energy without anion corrections in eV/atom: -0.095
data_SiMo5
_space_group_name_H-M_alt 'C m m m'
_space_group_IT_number 65
_space_group_name_Hall '-C 2 2'
_cell_length_a 3.193
_cell_length_b 13.254
_cell_length_c 4.331
_cell_angle_alpha 90.00
_cell_angle_beta 90.00
_cell_angle_gamma 90.00
loop_
_atom_site_label
_atom_site_fract_x
_atom_site_fract_y
_atom_site_fract_z
_atom_site_occupancy
Si1 0.000 0.000 0.000 1
Mo1 0.000 0.163 0.500 1
Mo2 0.000 0.332 0.000 1
Mo3 0.000 0.500 0.500 1



# SiMo3, relaxed, DFT GGA-PBE
# VASP energy in eV per atom: -9.5290
# E above lowest polymorph in eV per atom: 0.275
# Formation energy without anion corrections in eV/atom: -0.050
data_SiMo3
_space_group_name_H-M_alt 'P m m n'
_space_group_IT_number 59
_cell_length_a 4.627
_cell_length_b 5.347
_cell_length_c 4.881
_cell_angle_alpha 90.00
_cell_angle_beta 90.00
_cell_angle_gamma 90.00
loop_
_space_group_symop_operation_xyz
'x,y,z'
'-x,-y,-z'
'-x+1/2,-y+1/2,z'
'x+1/2,y+1/2,-z'
'x+1/2,-y,-z'
'-x+1/2,y,z'
'-x,y+1/2,-z'
'x,-y+1/2,z'
loop_
_atom_site_label
_atom_site_fract_x
_atom_site_fract_y
_atom_site_fract_z
_atom_site_occupancy
Si1 0.250 0.250 0.170 1
Mo1 0.250 0.006 0.668 1
Mo2 0.250 0.750 0.155 1



# Si3Mo, relaxed, DFT GGA-PBE
# VASP energy in eV per atom: -6.5457
# E above lowest polymorph in eV per atom: 0.370
# Formation energy without anion corrections in eV/atom: 0.229
data_Si3Mo
_space_group_name_H-M_alt 'C m m m'
_space_group_IT_number 65
_space_group_name_Hall '-C 2 2'
_cell_length_a 3.367
_cell_length_b 4.560
_cell_length_c 7.599
_cell_angle_alpha 90.00
_cell_angle_beta 90.00
_cell_angle_gamma 90.00
loop_
_atom_site_label
_atom_site_fract_x
_atom_site_fract_y
_atom_site_fract_z
_atom_site_occupancy
Si1 0.000 0.000 0.000 1
Si2 0.000 0.500 0.251 1
Mo1 0.000 0.000 0.500 1



# SiMo, relaxed, DFT GGA-PBE
# VASP energy in eV per atom: -8.3615
# Formation energy without anion corrections in eV/atom: -0.234
data_SiMo
_space_group_name_H-M_alt 'C 1 2/m 1'
_space_group_IT_number 12
_cell_length_a 8.951
_cell_length_b 3.042
_cell_length_c 4.365
_cell_angle_alpha 90.00
_cell_angle_beta 105.56
_cell_angle_gamma 90.00
loop_
_space_group_symop_operation_xyz
'x,y,z'
'-x,-y,-z'
'-x,y,-z'
'x,-y,z'
'x+1/2,y+1/2,z'
'-x+1/2,-y+1/2,-z'
'-x+1/2,y+1/2,-z'
'x+1/2,-y+1/2,z'
loop_
_atom_site_label
_atom_site_fract_x
_atom_site_fract_y
_atom_site_fract_z
_atom_site_occupancy
Si1 0.129 0.000 0.337 1
Mo1 0.114 0.500 0.821 1



# Si2Mo, relaxed, DFT GGA-PBE
# VASP energy in eV per atom: -6.9060
# Formation energy without anion corrections in eV/atom: 0.320
data_Si2Mo
_space_group_name_H-M_alt 'F m -3 m'
_space_group_IT_number 225
_space_group_name_Hall '-F 4 2 3'
_cell_length_a 5.847
_cell_length_b 5.847
_cell_length_c 5.847
_cell_angle_alpha 90.00
_cell_angle_beta 90.00
_cell_angle_gamma 90.00
loop_
_atom_site_label
_atom_site_fract_x
_atom_site_fract_y
_atom_site_fract_z
_atom_site_occupancy
Si1 0.250 0.250 0.250 1
Mo1 0.000 0.000 0.000 1



# Si2Mo, relaxed, DFT GGA-PBE
# VASP energy in eV per atom: -7.2941
# Formation energy without anion corrections in eV/atom: -0.068
data_Si2Mo
_space_group_name_H-M_alt 'C m c m'
_space_group_IT_number 63
_space_group_name_Hall '-C 2c 2'
_cell_length_a 3.037
_cell_length_b 12.670
_cell_length_c 4.587
_cell_angle_alpha 90.00
_cell_angle_beta 90.00
_cell_angle_gamma 90.00
loop_
_atom_site_label
_atom_site_fract_x
_atom_site_fract_y
_atom_site_fract_z
_atom_site_occupancy
Si1 0.000 0.047 0.250 1
Si2 0.000 0.376 0.250 1
Mo1 0.000 0.291 0.750 1



# SiMo, relaxed, DFT GGA-PBE
# VASP energy in eV per atom: -8.2427
# Formation energy without anion corrections in eV/atom: -0.116
data_SiMo
_space_group_name_H-M_alt 'P 4/m m m'
_space_group_IT_number 123
_space_group_name_Hall '-P 4 2'
_cell_length_a 3.031
_cell_length_b 3.031
_cell_length_c 3.078
_cell_angle_alpha 90.00
_cell_angle_beta 90.00
_cell_angle_gamma 90.00
loop_
_atom_site_label
_atom_site_fract_x
_atom_site_fract_y
_atom_site_fract_z
_atom_site_occupancy
Si1 0.000 0.000 0.000 1
Mo1 0.500 0.500 0.500 1



# SiMo3, relaxed, DFT GGA-PBE
# VASP energy in eV per atom: -9.5540
# E above lowest polymorph in eV per atom: 0.250
# Formation energy without anion corrections in eV/atom: -0.075
data_SiMo3
_space_group_name_H-M_alt 'C m c m'
_space_group_IT_number 63
_space_group_name_Hall '-C 2c 2'
_cell_length_a 8.144
_cell_length_b 6.723
_cell_length_c 4.434
_cell_angle_alpha 90.00
_cell_angle_beta 90.00
_cell_angle_gamma 90.00
loop_
_atom_site_label
_atom_site_fract_x
_atom_site_fract_y
_atom_site_fract_z
_atom_site_occupancy
Si1 0.000 0.167 0.250 1
Mo1 0.000 0.394 0.750 1
Mo2 0.227 0.114 0.750 1



# SiMo3, relaxed, DFT GGA-PBE
# VASP energy in eV per atom: -9.5610
# E above lowest polymorph in eV per atom: 0.243
# Formation energy without anion corrections in eV/atom: -0.082
data_SiMo3
_space_group_name_H-M_alt 'P 4/m m m'
_space_group_IT_number 123
_space_group_name_Hall '-P 4 2'
_cell_length_a 3.254
_cell_length_b 3.254
_cell_length_c 5.695
_cell_angle_alpha 90.00
_cell_angle_beta 90.00
_cell_angle_gamma 90.00
loop_
_atom_site_label
_atom_site_fract_x
_atom_site_fract_y
_atom_site_fract_z
_atom_site_occupancy
Si1 0.000 0.000 0.000 1
Mo1 0.000 0.000 0.500 1
Mo2 0.500 0.500 0.234 1



# Si3Mo, relaxed, DFT GGA-PBE
# VASP energy in eV per atom: -6.5331
# E above lowest polymorph in eV per atom: 0.382
# Formation energy without anion corrections in eV/atom: 0.242
data_Si3Mo
_space_group_name_H-M_alt 'I 4/m m m'
_space_group_IT_number 139
_space_group_name_Hall '-I 4 2'
_cell_length_a 3.771
_cell_length_b 3.771
_cell_length_c 7.802
_cell_angle_alpha 90.00
_cell_angle_beta 90.00
_cell_angle_gamma 90.00
loop_
_atom_site_label
_atom_site_fract_x
_atom_site_fract_y
_atom_site_fract_z
_atom_site_occupancy
Si1 0.000 0.000 0.000 1
Si2 0.000 0.500 0.250 1
Mo1 0.000 0.000 0.500 1



# SiMo, relaxed, DFT GGA-PBE
# VASP energy in eV per atom: -8.2544
# Formation energy without anion corrections in eV/atom: -0.127
data_SiMo
_space_group_name_H-M_alt 'C 1 m 1'
_space_group_IT_number 8
_cell_length_a 9.642
_cell_length_b 3.219
_cell_length_c 6.076
_cell_angle_alpha 90.00
_cell_angle_beta 110.70
_cell_angle_gamma 90.00
loop_
_space_group_symop_operation_xyz
'x,y,z'
'x,-y,z'
'x+1/2,y+1/2,z'
'x+1/2,-y+1/2,z'
loop_
_atom_site_label
_atom_site_fract_x
_atom_site_fract_y
_atom_site_fract_z
_atom_site_occupancy
Si1 0.000 0.000 0.000 1
Si2 0.036 0.000 0.541 1
Si3 0.217 0.500 0.893 1
Mo1 0.183 0.500 0.295 1
Mo2 0.330 0.000 0.682 1
Mo3 0.385 0.000 0.217 1



# Si3Mo, relaxed, DFT GGA-PBE
# VASP energy in eV per atom: -6.5661
# E above lowest polymorph in eV per atom: 0.349
# Formation energy without anion corrections in eV/atom: 0.209
data_Si3Mo
_space_group_name_H-M_alt 'P -6 m 2'
_space_group_IT_number 187
_space_group_name_Hall 'P -6 2'
_cell_length_a 2.9973
_cell_length_b 2.9973
_cell_length_c 7.7168
_cell_angle_alpha 90.00
_cell_angle_beta 90.00
_cell_angle_gamma 120.00
loop_
_atom_site_label
_atom_site_fract_x
_atom_site_fract_y
_atom_site_fract_z
_atom_site_occupancy
Si1 0.0000 0.0000 0.0000 1
Si2 0.6667 0.3333 0.2563 1
Mo1 0.0000 0.0000 0.5000 1



# Si3Mo, relaxed, DFT GGA-PBE
# VASP energy in eV per atom: -6.6434
# E above lowest polymorph in eV per atom: 0.272
# Formation energy without anion corrections in eV/atom: 0.132
data_Si3Mo
_space_group_name_H-M_alt 'R -3 m'
_space_group_IT_number 166
_space_group_name_Hall '-R 3 2"'
_cell_length_a 3.0345
_cell_length_b 3.0345
_cell_length_c 22.2067
_cell_angle_alpha 90.00
_cell_angle_beta 90.00
_cell_angle_gamma 120.00
loop_
_atom_site_label
_atom_site_fract_x
_atom_site_fract_y
_atom_site_fract_z
_atom_site_occupancy
Si1 0.0000 0.0000 0.0000 1
Si2 0.0000 0.0000 0.2505 1
Mo1 0.0000 0.0000 0.5000 1



# Si3Mo, relaxed, DFT GGA-PBE
# VASP energy in eV per atom: -6.9155
# E above lowest polymorph in eV per atom: 0.000
# Formation energy without anion corrections in eV/atom: -0.141
data_Si3Mo
_space_group_name_H-M_alt 'P n m a'
_space_group_IT_number 62
_cell_length_a 5.889
_cell_length_b 7.941
_cell_length_c 5.089
_cell_angle_alpha 90.00
_cell_angle_beta 90.00
_cell_angle_gamma 90.00
loop_
_space_group_symop_operation_xyz
'x,y,z'
'-x,-y,-z'
'-x+1/2,-y,z+1/2'
'x+1/2,y,-z+1/2'
'x+1/2,-y+1/2,-z+1/2'
'-x+1/2,y+1/2,z+1/2'
'-x,y+1/2,-z'
'x,-y+1/2,z'
loop_
_atom_site_label
_atom_site_fract_x
_atom_site_fract_y
_atom_site_fract_z
_atom_site_occupancy
Si1 0.033 0.250 0.115 1
Si2 0.166 0.510 0.347 1
Mo1 0.145 0.250 0.627 1



# Si5Mo4, relaxed, DFT GGA-PBE
# VASP energy in eV per atom: -7.8132
# E above lowest polymorph in eV per atom: 0.000
# Formation energy without anion corrections in eV/atom: 0.013
data_Si5Mo4
_space_group_name_H-M_alt 'P 63/m c m'
_space_group_IT_number 193
_space_group_name_Hall '-P 6c 2'
_cell_length_a 7.6272
_cell_length_b 7.6272
_cell_length_c 5.1315
_cell_angle_alpha 90.00
_cell_angle_beta 90.00
_cell_angle_gamma 120.00
loop_
_atom_site_label
_atom_site_fract_x
_atom_site_fract_y
_atom_site_fract_z
_atom_site_occupancy
Si1 0.0000 0.2914 0.2500 1
Si2 0.3333 0.6667 0.0000 1
Mo1 0.0000 0.0000 0.0000 1
Mo2 0.0000 0.3746 0.7500 1



# SiMo3, relaxed, DFT GGA-PBE
# VASP energy in eV per atom: -9.6381
# E above lowest polymorph in eV per atom: 0.166
# Formation energy without anion corrections in eV/atom: -0.159
data_SiMo3
_space_group_name_H-M_alt 'I m m m'
_space_group_IT_number 71
_space_group_name_Hall '-I 2 2'
_cell_length_a 3.187
_cell_length_b 4.240
_cell_length_c 8.825
_cell_angle_alpha 90.00
_cell_angle_beta 90.00
_cell_angle_gamma 90.00
loop_
_atom_site_label
_atom_site_fract_x
_atom_site_fract_y
_atom_site_fract_z
_atom_site_occupancy
Si1 0.000 0.000 0.000 1
Mo1 0.000 0.000 0.500 1
Mo2 0.000 0.500 0.248 1



# SiMo, relaxed, DFT GGA-PBE
# VASP energy in eV per atom: -8.2609
# Formation energy without anion corrections in eV/atom: -0.134
data_SiMo
_space_group_name_H-M_alt 'P n m a'
_space_group_IT_number 62
_cell_length_a 9.560
_cell_length_b 4.548
_cell_length_c 5.321
_cell_angle_alpha 90.00
_cell_angle_beta 90.00
_cell_angle_gamma 90.00
loop_
_space_group_symop_operation_xyz
'x,y,z'
'-x,-y,-z'
'-x+1/2,-y,z+1/2'
'x+1/2,y,-z+1/2'
'x+1/2,-y+1/2,-z+1/2'
'-x+1/2,y+1/2,z+1/2'
'-x,y+1/2,-z'
'x,-y+1/2,z'
loop_
_atom_site_label
_atom_site_fract_x
_atom_site_fract_y
_atom_site_fract_z
_atom_site_occupancy
Si1 0.072 0.250 0.003 1
Si2 0.166 0.750 0.277 1
Mo1 0.090 0.250 0.513 1
Mo2 0.170 0.750 0.785 1



# Si5Mo, relaxed, DFT GGA-PBE
# VASP energy in eV per atom: -5.8439
# E above lowest polymorph in eV per atom: 0.330
# Formation energy without anion corrections in eV/atom: 0.480
data_Si5Mo
_space_group_name_H-M_alt 'F -4 3 m'
_space_group_IT_number 216
_space_group_name_Hall 'F -4 2 3'
_cell_length_a 6.969
_cell_length_b 6.969
_cell_length_c 6.969
_cell_angle_alpha 90.00
_cell_angle_beta 90.00
_cell_angle_gamma 90.00
loop_
_atom_site_label
_atom_site_fract_x
_atom_site_fract_y
_atom_site_fract_z
_atom_site_occupancy
Si1 0.000 0.000 0.000 1
Si2 0.125 0.125 0.625 1
Mo1 0.250 0.250 0.250 1



# SiMo5, relaxed, DFT GGA-PBE
# VASP energy in eV per atom: -9.9941
# E above lowest polymorph in eV per atom: 0.031
# Formation energy without anion corrections in eV/atom: -0.064
data_SiMo5
_space_group_name_H-M_alt 'P 4/m m m'
_space_group_IT_number 123
_space_group_name_Hall '-P 4 2'
_cell_length_a 3.180
_cell_length_b 3.180
_cell_length_c 9.068
_cell_angle_alpha 90.00
_cell_angle_beta 90.00
_cell_angle_gamma 90.00
loop_
_atom_site_label
_atom_site_fract_x
_atom_site_fract_y
_atom_site_fract_z
_atom_site_occupancy
Si1 0.000 0.000 0.000 1
Mo1 0.000 0.000 0.328 1
Mo2 0.500 0.500 0.157 1
Mo3 0.500 0.500 0.500 1



# SiMo8, relaxed, DFT GGA-PBE
# VASP energy in eV per atom: -10.0882
# Formation energy without anion corrections in eV/atom: 0.142
data_SiMo8
_space_group_name_H-M_alt 'I 4/m m m'
_space_group_IT_number 139
_space_group_name_Hall '-I 4 2'
_cell_length_a 7.939
_cell_length_b 7.939
_cell_length_c 4.483
_cell_angle_alpha 90.00
_cell_angle_beta 90.00
_cell_angle_gamma 90.00
loop_
_atom_site_label
_atom_site_fract_x
_atom_site_fract_y
_atom_site_fract_z
_atom_site_occupancy
Si1 0.000 0.000 0.000 1
Mo1 0.000 0.327 0.000 1
Mo2 0.162 0.162 0.500 1



# SiMo, relaxed, DFT GGA-PBE
# VASP energy in eV per atom: -7.8478
# Formation energy without anion corrections in eV/atom: 0.279
data_SiMo
_space_group_name_H-M_alt 'P 63/m m c'
_space_group_IT_number 194
_space_group_name_Hall '-P 6c 2c'
_cell_length_a 4.2258
_cell_length_b 4.2258
_cell_length_c 4.8586
_cell_angle_alpha 90.00
_cell_angle_beta 90.00
_cell_angle_gamma 120.00
loop_
_atom_site_label
_atom_site_fract_x
_atom_site_fract_y
_atom_site_fract_z
_atom_site_occupancy
Si1 0.3333 0.6667 0.2500 1
Mo1 0.3333 0.6667 0.7500 1



# Si3Mo5, relaxed, DFT GGA-PBE
# VASP energy in eV per atom: -8.9323
# E above lowest polymorph in eV per atom: 0.281
# Formation energy without anion corrections in eV/atom: -0.129
data_Si3Mo5
_space_group_name_H-M_alt 'C m m m'
_space_group_IT_number 65
_space_group_name_Hall '-C 2 2'
_cell_length_a 6.328
_cell_length_b 8.523
_cell_length_c 4.332
_cell_angle_alpha 90.00
_cell_angle_beta 90.00
_cell_angle_gamma 90.00
loop_
_atom_site_label
_atom_site_fract_x
_atom_site_fract_y
_atom_site_fract_z
_atom_site_occupancy
Si1 0.000 0.000 0.000 1
Si2 0.000 0.277 0.500 1
Mo1 0.000 0.500 0.000 1
Mo2 0.211 0.000 0.500 1
Mo3 0.250 0.250 0.000 1